DFT (PBE) results for crystalline LaGdHoHg at its relaxed geometry.

## Properties
ΔH_f (0 K)	-90	meV/atom
SG	F-43m
E	-0.223	Ha/atom
D(E_F)	1.450	states/eV per atom

The structure in extended XYZ format:
```
16
Lattice="7.810 0.000 0.000 0.000 7.810 0.000 0.000 0.000 7.810" Properties=species:S:1:pos:R:3 pbc="T T T"
La 0.000 0.000 0.000
La 0.000 3.905 3.905
La 3.905 0.000 3.905
La 3.905 3.905 0.000
Gd 0.000 0.000 3.905
Gd 0.000 3.905 0.000
Gd 3.905 0.000 0.000
Gd 3.905 3.905 3.905
Ho 1.952 1.952 5.857
Ho 1.952 5.857 1.952
Ho 5.857 1.952 1.952
Ho 5.857 5.857 5.857
Hg 1.952 1.952 1.952
Hg 1.952 5.857 5.857
Hg 5.857 1.952 5.857
Hg 5.857 5.857 1.952
```